NdTh2ScP4 | PBE | relaxed

Cell and atoms, written as CIF:
```
data_NdTh2ScP4
_chemical_formula_sum 'Nd1 Th2 Sc1 P4'
_space_group_name_H-M_alt 'P 1 2/m 1'
_space_group_IT_number 10
_space_group_name_Hall '-P 2y'
_cell_length_a 6.997
_cell_length_b 4.087
_cell_length_c 7.070
_cell_angle_alpha 90.00
_cell_angle_beta 109.76
_cell_angle_gamma 90.00
loop_
_atom_site_label
_atom_site_fract_x
_atom_site_fract_y
_atom_site_fract_z
Nd1 0.000 0.000 0.000
Th1 0.500 0.000 0.500
Th2 0.500 0.500 0.000
Sc1 0.000 0.500 0.500
P1 0.238 0.000 0.736
P2 0.245 0.500 0.258
```

Crystal system: monoclinic
E_form in eV per atom: -1.496

LiAg5Sn | PBE | relaxed

Cell and atoms, written as CIF:
```
data_LiAg5Sn
_chemical_formula_sum 'Li4 Ag20 Sn4'
_space_group_name_H-M_alt 'C 1 2/c 1'
_space_group_IT_number 15
_space_group_name_Hall '-C 2yc'
_cell_length_a 7.986
_cell_length_b 11.476
_cell_length_c 6.506
_cell_angle_alpha 90.00
_cell_angle_beta 114.54
_cell_angle_gamma 90.00
loop_
_atom_site_label
_atom_site_fract_x
_atom_site_fract_y
_atom_site_fract_z
Li1 0.000 0.036 0.250
Ag1 0.000 0.280 0.250
Ag2 0.142 0.147 0.649
Ag3 0.247 0.135 0.123
Sn1 0.000 0.500 0.000
```

Crystal system: monoclinic
E_form in eV per atom: 0.036

NaCrAs2Se | PBE | relaxed

Cell and atoms, written as CIF:
```
data_NaCrAs2Se
_chemical_formula_sum 'Na1 Cr1 As2 Se1'
_space_group_name_H-M_alt 'P 4/m m m'
_space_group_IT_number 123
_space_group_name_Hall '-P 4 2'
_cell_length_a 4.974
_cell_length_b 4.974
_cell_length_c 5.057
_cell_angle_alpha 90.00
_cell_angle_beta 90.00
_cell_angle_gamma 90.00
loop_
_atom_site_label
_atom_site_fract_x
_atom_site_fract_y
_atom_site_fract_z
Na1 0.000 0.000 0.000
Cr1 0.500 0.500 0.500
As1 0.000 0.500 0.000
Se1 0.000 0.000 0.500
```

ΔE to the lowest computed polymorph in meV per atom: 1093
Crystal system: tetragonal

LiMg2Hg5 | PBE | relaxed

Cell and atoms, written as CIF:
```
data_LiMg2Hg5
_chemical_formula_sum 'Li1 Mg2 Hg5'
_space_group_name_H-M_alt 'P 1'
_space_group_IT_number 1
_space_group_name_Hall 'P 1'
_cell_length_a 6.120
_cell_length_b 6.121
_cell_length_c 6.123
_cell_angle_alpha 107.32
_cell_angle_beta 107.31
_cell_angle_gamma 113.82
loop_
_atom_site_label
_atom_site_fract_x
_atom_site_fract_y
_atom_site_fract_z
Li1 0.000 0.000 0.000
Mg1 0.478 0.978 0.499
Mg2 0.978 0.478 0.498
Hg1 0.412 0.411 0.000
Hg2 0.503 0.956 0.999
Hg3 0.505 0.505 0.547
Hg4 0.957 0.503 0.999
Hg5 0.958 0.958 0.453
```

Crystal system: triclinic
E_form in eV per atom: -0.176

Number 1: E -7.444 eV/atom, calculated volume 23.8 Å³ per atom. Number 2: E -2.846 eV/atom, calculated volume 19.4 Å³ per atom. Number 3: E -3.670 eV/atom, calculated volume 25.0 Å³ per atom. Number 4: E -1.003 eV/atom, calculated volume 22.0 Å³ per atom.